Record 1
KYSe2: optimized geometry, PBE-GGA.

E ... -5.33 eV/atom
Magnetic moment ... 0.00 μB/cell
ρ ... 3.84 g cm⁻³

Lattice parameters (Å, degrees): 4.1179 5.6574 10.6029 90.00 90.27 90.00
Space group P2_1/m (No. 11)
Unique sites:
K: 0.2477 0.2500 0.1196 (multiplicity 2)
Y: 0.2484 0.7500 0.3817 (multiplicity 2)
Se: 0.2492 0.2500 0.4248 (multiplicity 2)
Se: 0.2537 0.2500 0.8068 (multiplicity 2)

---

Record 2
KY2Se2: optimized geometry, PBE-GGA.

E above lowest polymorph ... 0.00 eV per formula unit
E ... -5.32 eV/atom
Magnetic moment ... 0.00 μB/cell
ρ ... 3.54 g cm⁻³

Lattice parameters (Å, degrees): 4.9353 4.9353 14.4541 90.00 90.00 90.00
Space group I4/mmm (No. 139)
Unique sites:
K: 0.0000 0.0000 0.0000 (multiplicity 2)
Y: 0.0000 0.5000 0.2500 (multiplicity 4)
Se: 0.0000 0.0000 0.3481 (multiplicity 4)

---

Record 3
KY2Se: optimized geometry, PBE-GGA.

E ... -4.85 eV/atom
Magnetic moment ... 0.01 μB/cell
ρ ... 3.54 g cm⁻³

Lattice parameters (Å, degrees): 4.0266 6.2571 11.0280 90.00 90.00 90.00
Space group Cmmm (No. 65)
Unique sites:
K: 0.0000 0.0000 0.0000 (multiplicity 2)
Y: 0.0000 0.5000 0.3221 (multiplicity 4)
Se: 0.0000 0.0000 0.5000 (multiplicity 2)

---

Record 4
KYSe2: optimized geometry, PBE-GGA.

E ... -5.26 eV/atom
Magnetic moment ... 0.00 μB/cell
ρ ... 4.11 g cm⁻³

Lattice parameters (Å, degrees): 6.0768 6.0768 12.5052 90.00 90.00 90.00
Space group I4_1/amd (No. 141, origin choice 2)
Unique sites:
K: 0.0000 0.2500 0.3750 (multiplicity 4)
Y: 0.0000 0.2500 0.8750 (multiplicity 4)
Se: 0.0000 0.2500 0.1011 (multiplicity 8)

---

Record 5
KYSe2: optimized geometry, PBE-GGA.

E ... -5.31 eV/atom
Magnetic moment ... 0.00 μB/cell
ρ ... 3.96 g cm⁻³

Lattice parameters (Å, degrees): 4.1289 7.4123 7.8429 90.00 90.00 90.00
Space group Pmmn (No. 59, origin choice 2)
Unique sites:
K: 0.2500 0.2500 0.0752 (multiplicity 2)
Y: 0.2500 0.7500 0.4337 (multiplicity 2)
Se: 0.2500 0.0123 0.7052 (multiplicity 4)

---

Record 6
KYSe2: optimized geometry, PBE-GGA.

E ... -5.20 eV/atom
Magnetic moment ... 0.00 μB/cell
ρ ... 3.29 g cm⁻³

Lattice parameters (Å, degrees): 12.1045 12.1049 16.0500 90.00 100.75 90.00
Space group C2/c (No. 15)
Unique sites:
K: 0.0306 0.1862 0.3739 (multiplicity 8)
K: 0.2196 0.4372 0.1255 (multiplicity 8)
Y: 0.0982 0.1889 0.6454 (multiplicity 8)
Y: 0.1501 0.4373 0.8544 (multiplicity 8)
Se: 0.0000 0.0570 0.7500 (multiplicity 4)
Se: 0.0000 0.4309 0.2500 (multiplicity 4)
Se: 0.0529 0.3126 0.9615 (multiplicity 8)
Se: 0.1975 0.0623 0.5408 (multiplicity 8)
Se: 0.2440 0.1868 0.2502 (multiplicity 8)